[1]
This record from the Alexandria database describes a geometry-optimized AcYLuTh structure. The functional is GGA-PBE.

Calculated values
Energy of formation in eV per atom: 0.12
Magnetization in μB per cell: 0.00

a = 8.1880 Å, b = 8.1880 Å, c = 8.1880 Å
α = 90.00°, β = 90.00°, γ = 90.00°
Space group F-43m (No. 216)
One atom of each set of equivalent atoms:
Ac1 0.0000 0.0000 0.0000 [4 per cell]
Y1 0.2500 0.2500 0.2500 [4 per cell]
Lu1 0.2500 0.2500 0.7500 [4 per cell]
Th1 0.0000 0.0000 0.5000 [4 per cell]

[2]
This record from the Alexandria database describes a geometry-optimized Ho5ThTl6 structure. The functional is GGA-PBE.

Calculated values
Energy of formation in eV per atom: -0.20
Excess energy over the best structure of this formula in the dataset in eV per atom: 0.0853
Magnetization in μB per cell: 0.00

a = 9.8961 Å, b = 11.1284 Å, c = 6.5525 Å
α = 90.00°, β = 102.21°, γ = 90.00°
Space group C2/m (No. 12)
One atom of each set of equivalent atoms:
Ho1 0.0000 0.0000 0.0000 [2 per cell]
Ho2 0.0000 0.1676 0.5000 [4 per cell]
Ho3 0.0000 0.3364 0.0000 [4 per cell]
Th1 0.0000 0.5000 0.5000 [2 per cell]
Tl1 0.2444 0.0000 0.7537 [4 per cell]
Tl2 0.2449 0.1709 0.2431 [8 per cell]